NaMn6O8 | PBE with a Hubbard U | optimized geometry

Properties
- final energy (eV/f.u.) = -108.361
- theoretical density (g/cm³) = 4.3
- DOS at the Fermi energy (states/eV per cell) = 4.8

abc: 8.2037 8.2037 3.1882
angles: 90.00 90.00 120.00
Last column: nearest neighbours and their distance in Å.
Fractional coordinates of all 15 atoms:
Na 0.0000 0.0000 0.0000  6 O 2.92, 2 Na 3.19
Mn 0.1342 0.6809 0.7601  4 O 1.99-2.10
Mn 0.3191 0.4533 0.7601  4 O 1.99-2.10
Mn 0.4533 0.1342 0.2399  4 O 1.99-2.10
Mn 0.5467 0.8658 0.7601  4 O 1.99-2.10
Mn 0.6809 0.5467 0.2399  4 O 1.99-2.10
Mn 0.8658 0.3191 0.2399  4 O 1.99-2.10
O 0.0371 0.3555 0.7184  3 Mn 1.99-2.10
O 0.3184 0.9629 0.7184  3 Mn 1.99-2.10
O 0.3333 0.6667 0.1364  3 Mn 2.08
O 0.3555 0.3184 0.2816  3 Mn 1.99-2.10
O 0.6445 0.6816 0.7184  3 Mn 1.99-2.10
O 0.6667 0.3333 0.8636  3 Mn 2.08
O 0.6816 0.0371 0.2816  3 Mn 1.99-2.10
O 0.9629 0.6445 0.2816  3 Mn 1.99-2.10